A plane-wave DFT calculation with GGA-PBEsol was carried out for crystalline As3WO at its relaxed geometry.

The structure belongs to space group Pm-3m (No. 221); the cell edges are 4.748, 4.748 and 4.748 Å and the angles 90.00°, 90.00° and 90.00°. The asymmetric unit holds As at (0.000, 0.000, 0.500), W at (0.000, 0.000, 0.000) and O at (0.500, 0.500, 0.500).

The calculation puts the raw total energy at -30.1 eV/cell. As for the uncorrected formation energy: 0.85 eV/atom. For the density, the calculation gives 6.59 Mg/m³.

=====

A plane-wave DFT calculation with GGA-PBEsol was carried out for crystalline YAs3O at its relaxed geometry.

The structure belongs to space group Pm-3m (No. 221); the cell edges are 5.323, 5.323 and 5.323 Å and the angles 90.00°, 90.00° and 90.00°. The asymmetric unit holds Y at (0.000, 0.000, 0.000), As at (0.000, 0.000, 0.500) and O at (0.500, 0.500, 0.500).

The calculation puts the raw total energy at -22.1 eV/cell. As for the uncorrected formation energy: 1.06 eV/atom. For the density, the calculation gives 3.63 Mg/m³.

=====

A plane-wave DFT calculation with GGA-PBEsol was carried out for crystalline ZnAs2O4 at its relaxed geometry.

The structure belongs to space group P2_1/c (No. 14); the cell edges are 4.515, 5.005 and 17.615 Å and the angles 90.00°, 90.39° and 90.00°. The asymmetric unit holds Zn at (0.246, 0.015, 0.248), As at (0.014, 0.732, 0.090), As at (0.488, 0.715, 0.907), O at (0.006, 0.234, 0.809), O at (0.098, 0.621, 0.914), O at (0.404, 0.637, 0.082) and O at (0.498, 0.233, 0.694).

The calculation puts the raw total energy at -166.9 eV/cell. As for the uncorrected formation energy: -1.28 eV/atom. For the density, the calculation gives 4.66 Mg/m³.

=====

A plane-wave DFT calculation with GGA-PBEsol was carried out for crystalline ZnAsO2 at its relaxed geometry.

The structure belongs to space group I-42d (No. 122); the cell edges are 4.449, 4.449 and 10.931 Å and the angles 90.00°, 90.00° and 90.00°. The asymmetric unit holds Zn at (0.000, 0.000, 0.000), As at (0.000, 0.000, 0.500) and O at (0.232, 0.250, 0.125).

The calculation puts the raw total energy at -79.2 eV/cell. As for the uncorrected formation energy: -0.65 eV/atom. For the density, the calculation gives 5.29 Mg/m³.